[1]
DFT (PBE-GGA) results for crystalline RbPbCO2 at its relaxed geometry.

Unit cell a=4.3837 b=4.4315 c=4.3837 alpha=90.00 beta=90.00 gamma=90.00
Positions (direct):
Pb 0.5000 0.5000 0.5000
C 0.0000 0.0000 0.0000
O 0.0000 0.0000 0.5000
O 0.5000 0.0000 0.0000
Rb 0.0000 0.5000 0.0000

Computed properties:
**Formation energy from raw total energies**: 1.30 eV per atom
**Crystal system**: tetragonal
**Calculated density**: 6.57 Mg/m³
**N(E_F)**: 2.98 states/eV/f.u.
**Calculated volume**: 17.0 Å³/atom
**Total energy**: -3.459 eV per atom

[2]
DFT (PBE-GGA) results for crystalline RbPb2C2O6 at its relaxed geometry.

Unit cell a=7.0429 b=7.0159 c=7.0394 alpha=114.05 beta=101.37 gamma=37.26
Positions (direct):
Rb 0.5000 0.0000 0.5000
Pb 0.6847 0.5007 0.8148
Pb 0.3153 0.4993 0.1852
C 0.0211 0.7740 0.7947
C 0.9789 0.2260 0.2053
O 0.2857 0.5854 0.8711
O 0.2045 0.1415 0.1378
O 0.0056 0.8568 0.6533
O 0.7955 0.8585 0.8622
O 0.9944 0.1432 0.3467
O 0.7143 0.4146 0.1289

Computed properties:
**Formation energy from raw total energies**: -1.27 eV per atom
**Crystal system**: triclinic
**Calculated density**: 5.50 Mg/m³
**N(E_F)**: 1.04 states/eV/f.u.
**Calculated volume**: 17.0 Å³/atom
**Total energy**: -6.418 eV per atom

> Which of these has the lowest N(E_F)?

RbPb2C2O6

> What is the calculated density in the first record?

6.57 Mg/m³

> formation energy from raw total energies of number 1 (RbPbCO2)?

1.30 eV per atom